Record 1
The following is a PBE calculation of ReTcTe after structural relaxation, from the Alexandria database.

energy above the most stable polymorph in this dataset: 0.0 meV per atom
SG: I4mm, No. 107
uncorrected formation energy: 424 meV/atom

CIF file:
```
data_ReTcTe
_cell_length_a 5.939
_cell_length_b 5.939
_cell_length_c 5.939
_cell_angle_alpha 150.15
_cell_angle_beta 150.15
_cell_angle_gamma 42.72
_symmetry_space_group_name_H-M 'P 1'
_symmetry_Int_Tables_number 1
_symmetry_space_group_name_Hall 'P 1'
loop_
_atom_site_label
_atom_site_fract_x
_atom_site_fract_y
_atom_site_fract_z
_atom_site_occupancy
Te1 0.667 0.667 0.000 1
Re1 0.986 0.986 0.000 1
Tc1 0.347 0.347 0.000 1
```



Record 2
The following is a PBE calculation of La2DyCd after structural relaxation, from the Alexandria database.

energy above the most stable polymorph in this dataset: 130.6 meV per atom
formation enthalpy at 0 K: -0.0240 eV per atom
SG: Amm2, No. 38

CIF file:
```
data_La2DyCd
_cell_length_a 3.606
_cell_length_b 3.533
_cell_length_c 10.334
_cell_angle_alpha 99.84
_cell_angle_beta 90.00
_cell_angle_gamma 90.00
_symmetry_space_group_name_H-M 'P 1'
_symmetry_Int_Tables_number 1
_symmetry_space_group_name_Hall 'P 1'
loop_
_atom_site_label
_atom_site_fract_x
_atom_site_fract_y
_atom_site_fract_z
_atom_site_occupancy
Cd1 0.500 0.865 0.730 1
La1 0.500 0.118 0.236 1
La2 0.000 0.479 0.958 1
Dy1 0.000 0.267 0.534 1
```



Record 3
The following is a PBE calculation of K2LaP after structural relaxation, from the Alexandria database.

formation enthalpy at 0 K: -0.0940 eV per atom
SG: Cmmm, No. 65

CIF file:
```
data_K2LaP
_cell_length_a 6.654
_cell_length_b 4.555
_cell_length_c 4.559
_cell_angle_alpha 84.71
_cell_angle_beta 90.00
_cell_angle_gamma 90.00
_symmetry_space_group_name_H-M 'P 1'
_symmetry_Int_Tables_number 1
_symmetry_space_group_name_Hall 'P 1'
loop_
_atom_site_label
_atom_site_fract_x
_atom_site_fract_y
_atom_site_fract_z
_atom_site_occupancy
K1 0.000 0.964 0.965 1
K2 0.000 0.536 0.535 1
P1 0.500 0.750 0.750 1
La1 0.500 0.250 0.250 1
```



Record 4
The following is a PBE calculation of KTiCuGe2 after structural relaxation, from the Alexandria database.

formation enthalpy at 0 K: 0.2749 eV per atom
SG: P4/mmm, No. 123

CIF file:
```
data_KTiCuGe2
_cell_length_a 4.968
_cell_length_b 5.106
_cell_length_c 4.968
_cell_angle_alpha 90.00
_cell_angle_beta 90.00
_cell_angle_gamma 90.00
_symmetry_space_group_name_H-M 'P 1'
_symmetry_Int_Tables_number 1
_symmetry_space_group_name_Hall 'P 1'
loop_
_atom_site_label
_atom_site_fract_x
_atom_site_fract_y
_atom_site_fract_z
_atom_site_occupancy
Ge1 0.000 0.000 0.500 1
Ge2 0.500 0.000 0.000 1
K1 0.500 0.500 0.500 1
Cu1 0.000 0.500 0.000 1
Ti1 0.000 0.000 0.000 1
```



Record 5
The following is a PBE calculation of MnH2Pd after structural relaxation, from the Alexandria database.

energy above the most stable polymorph in this dataset: 34.4 meV per atom
SG: I-42d, No. 122

CIF file:
```
data_MnH2Pd
_cell_length_a 4.136
_cell_length_b 4.136
_cell_length_c 5.188
_cell_angle_alpha 66.51
_cell_angle_beta 66.51
_cell_angle_gamma 90.00
_symmetry_space_group_name_H-M 'P 1'
_symmetry_Int_Tables_number 1
_symmetry_space_group_name_Hall 'P 1'
loop_
_atom_site_label
_atom_site_fract_x
_atom_site_fract_y
_atom_site_fract_z
_atom_site_occupancy
H1 0.375 0.387 0.750 1
H2 0.137 0.625 0.250 1
H3 0.875 0.863 0.750 1
H4 0.613 0.125 0.250 1
Mn1 0.250 0.750 0.500 1
Mn2 0.500 0.500 0.000 1
Pd1 0.000 0.000 0.000 1
Pd2 0.750 0.250 0.500 1
```



Record 6
The following is a PBE calculation of Tb2B6Ru after structural relaxation, from the Alexandria database.

formation enthalpy at 0 K: -0.6542 eV per atom
SG: Pbam, No. 55

CIF file:
```
data_Tb2B6Ru
_cell_length_a 3.683
_cell_length_b 9.189
_cell_length_c 11.554
_cell_angle_alpha 90.00
_cell_angle_beta 90.00
_cell_angle_gamma 90.00
_symmetry_space_group_name_H-M 'P 1'
_symmetry_Int_Tables_number 1
_symmetry_space_group_name_Hall 'P 1'
loop_
_atom_site_label
_atom_site_fract_x
_atom_site_fract_y
_atom_site_fract_z
_atom_site_occupancy
B1 0.500 0.710 0.767 1
B2 0.500 0.446 0.567 1
B3 0.500 0.247 0.080 1
B4 0.500 0.984 0.213 1
B5 0.500 0.054 0.067 1
B6 0.500 0.388 0.969 1
B7 0.500 0.554 0.433 1
B8 0.500 0.112 0.469 1
B9 0.500 0.290 0.233 1
B10 0.500 0.868 0.686 1
B11 0.500 0.632 0.186 1
B12 0.500 0.888 0.531 1
B13 0.500 0.132 0.314 1
B14 0.500 0.016 0.787 1
B15 0.500 0.753 0.920 1
B16 0.500 0.790 0.267 1
B17 0.500 0.210 0.733 1
B18 0.500 0.946 0.933 1
B19 0.500 0.516 0.713 1
B20 0.500 0.612 0.031 1
B21 0.500 0.484 0.287 1
B22 0.500 0.368 0.814 1
B23 0.500 0.253 0.580 1
B24 0.500 0.747 0.420 1
Tb1 0.000 0.944 0.373 1
Tb2 0.000 0.556 0.873 1
Tb3 0.000 0.177 0.914 1
Tb4 0.000 0.444 0.127 1
Tb5 0.000 0.056 0.627 1
Tb6 0.000 0.677 0.586 1
Tb7 0.000 0.823 0.086 1
Tb8 0.000 0.323 0.414 1
Ru1 0.000 0.862 0.821 1
Ru2 0.000 0.138 0.179 1
Ru3 0.000 0.638 0.321 1
Ru4 0.000 0.362 0.679 1
```



Record 7
The following is a PBE calculation of TeWBr2 after structural relaxation, from the Alexandria database.

energy above the most stable polymorph in this dataset: 1320.0 meV per atom
SG: Cmmm, No. 65
uncorrected formation energy: 1266 meV/atom

CIF file:
```
data_TeWBr2
_cell_length_a 5.556
_cell_length_b 5.556
_cell_length_c 3.136
_cell_angle_alpha 90.00
_cell_angle_beta 90.00
_cell_angle_gamma 110.77
_symmetry_space_group_name_H-M 'P 1'
_symmetry_Int_Tables_number 1
_symmetry_space_group_name_Hall 'P 1'
loop_
_atom_site_label
_atom_site_fract_x
_atom_site_fract_y
_atom_site_fract_z
_atom_site_occupancy
W1 0.000 0.500 0.500 1
Br1 0.500 0.500 0.000 1
Br2 0.000 0.000 0.000 1
Te1 0.500 0.000 0.500 1
```



Record 8
The following is a PBE calculation of MgCo4Pb after structural relaxation, from the Alexandria database.

formation enthalpy at 0 K: 0.1983 eV per atom
SG: F-43m, No. 216

CIF file:
```
data_MgCo4Pb
_cell_length_a 4.932
_cell_length_b 4.932
_cell_length_c 4.932
_cell_angle_alpha 60.00
_cell_angle_beta 60.00
_cell_angle_gamma 60.00
_symmetry_space_group_name_H-M 'P 1'
_symmetry_Int_Tables_number 1
_symmetry_space_group_name_Hall 'P 1'
loop_
_atom_site_label
_atom_site_fract_x
_atom_site_fract_y
_atom_site_fract_z
_atom_site_occupancy
Co1 0.376 0.376 0.873 1
Co2 0.873 0.376 0.376 1
Co3 0.376 0.376 0.376 1
Co4 0.376 0.873 0.376 1
Pb1 0.000 0.000 0.000 1
Mg1 0.750 0.750 0.750 1
```



Record 9
The following is a PBE calculation of Hg2IrCl after structural relaxation, from the Alexandria database.

energy above the most stable polymorph in this dataset: 592.4 meV per atom
SG: I4/mmm, No. 139
uncorrected formation energy: 734 meV/atom

CIF file:
```
data_Hg2IrCl
_cell_length_a 5.435
_cell_length_b 5.435
_cell_length_c 5.435
_cell_angle_alpha 135.23
_cell_angle_beta 135.23
_cell_angle_gamma 65.18
_symmetry_space_group_name_H-M 'P 1'
_symmetry_Int_Tables_number 1
_symmetry_space_group_name_Hall 'P 1'
loop_
_atom_site_label
_atom_site_fract_x
_atom_site_fract_y
_atom_site_fract_z
_atom_site_occupancy
Hg1 0.000 0.000 0.000 1
Hg2 0.500 0.500 0.000 1
Ir1 0.250 0.750 0.500 1
Cl1 0.750 0.250 0.500 1
```



Record 10
The following is a PBE calculation of DyZn12Ag7 after structural relaxation, from the Alexandria database.

formation enthalpy at 0 K: 0.2282 eV per atom
SG: Im-3, No. 204

CIF file:
```
data_DyZn12Ag7
_cell_length_a 8.168
_cell_length_b 8.168
_cell_length_c 8.168
_cell_angle_alpha 109.47
_cell_angle_beta 109.47
_cell_angle_gamma 109.47
_symmetry_space_group_name_H-M 'P 1'
_symmetry_Int_Tables_number 1
_symmetry_space_group_name_Hall 'P 1'
loop_
_atom_site_label
_atom_site_fract_x
_atom_site_fract_y
_atom_site_fract_z
_atom_site_occupancy
Zn1 0.645 0.752 0.397 1
Zn2 0.752 0.107 0.355 1
Zn3 0.248 0.893 0.645 1
Zn4 0.397 0.645 0.752 1
Zn5 0.645 0.248 0.893 1
Zn6 0.752 0.397 0.645 1
Zn7 0.603 0.355 0.248 1
Zn8 0.355 0.248 0.603 1
Zn9 0.248 0.603 0.355 1
Zn10 0.355 0.752 0.107 1
Zn11 0.893 0.645 0.248 1
Zn12 0.107 0.355 0.752 1
Dy1 0.000 0.000 0.000 1
Ag1 0.500 0.500 0.500 1
Ag2 0.500 0.000 0.500 1
Ag3 0.000 0.000 0.500 1
Ag4 0.500 0.500 0.000 1
Ag5 0.000 0.500 0.500 1
Ag6 0.000 0.500 0.000 1
Ag7 0.500 0.000 0.000 1
```



no.,D(E_F) (states/eV/f.u.)
1,1.6
2,6.1
3,2.6
4,4.2
5,3.6
6,0.8
7,3.2
8,9.7
9,2.6
10,5.2